1.
Entry from Alexandria: Ce2GeTe after structural relaxation (GGA-PBE).

Cell lengths 4.2884, 4.2884, 7.9620 Å; angles 74.38, 74.38, 60.00 degrees
Element x y z (fractional)
1 Ce 0.0732 0.0732 0.7805
2 Te 0.4984 0.4984 0.5048
3 Ge 0.6684 0.6684 0.9948
4 Ce 0.2600 0.2600 0.2199

Computed properties:
The offset from the most stable computed form is 69 meV per atom. The calculation puts the total moment at 1.84 Bohr magnetons per cell. The final energy comes out at -5.918 eV per atom. Its formation energy without anion corrections is -1.01 eV per atom.

2.
Entry from Alexandria: Pm2SmCl after structural relaxation (GGA-PBE).

Cell lengths 3.6851, 3.6851, 10.4134 Å; angles 79.81, 79.81, 60.00 degrees
Element x y z (fractional)
1 Pm 0.2610 0.2610 0.2169
2 Cl 0.0000 0.0000 0.0000
3 Pm 0.7390 0.7390 0.7831
4 Sm 0.5000 0.5000 0.5000

Computed properties:
The calculation puts the total moment at 0.00 Bohr magnetons per cell. The final energy comes out at -4.696 eV per atom. Its formation energy without anion corrections is -0.68 eV per atom.

Look up the final energy of the second one. -4.696 eV per atom

Which of these has the lowest final energy? Ce2GeTe

Which formula does entry 2 have? Pm2SmCl

The lowest final energy belongs to which entry? Ce2GeTe